Ba3InGa | PBE-GGA | relaxed

a = 12.029 Å, b = 12.029 Å, c = 6.019 Å
α = 90.00°, β = 90.00°, γ = 151.01°
Atoms (fractional coordinates):
Ba1 0.079 0.921 0.750
Ba2 0.250 0.750 0.750
Ba3 0.421 0.579 0.750
Ba4 0.579 0.421 0.250
Ba5 0.750 0.250 0.250
Ba6 0.921 0.079 0.250
In1 0.161 0.839 0.250
In2 0.839 0.161 0.750
Ga1 0.340 0.660 0.250
Ga2 0.660 0.340 0.750

M_tot (μB/cell): 0.0
E (eV per cell): -26.0
Polymorph energy (0 for the lowest one) (meV per atom): 0.0
Volume (Å³/f.u.): 211.1
Formation energy from the elements (eV/atom): -0.2931